Record 1
A relaxed AlTe2Pd crystal, computed with GGA-PBE.

Values from the calculation:
Total DFT energy (no corrections) = -3.854 eV per atom

a b c (Å): 3.9364 3.9364 24.9386
angles (deg): 90.00 90.00 120.00
Last column: nearest neighbours and their distance in Å.
Space group R-3m (No. 166, hexagonal axes)
One atom of each set of equivalent atoms:
Al1 0.0000 0.0000 0.0000 (multiplicity 3)  6 Te 2.78
Te1 0.0000 0.0000 0.3976 (multiplicity 6)  1 Pd 2.55, 3 Al 2.78
Pd1 0.0000 0.0000 0.5000 (multiplicity 3)  2 Te 2.55

---

Record 2
A relaxed Al2TePd2 crystal, computed with GGA-PBE.

Values from the calculation:
E above lowest polymorph = 0 meV per atom

a b c (Å): 7.6446 7.6446 2.9802
angles (deg): 90.00 90.00 90.00
Last column: nearest neighbours and their distance in Å.
Space group P4/mbm (No. 127)
One atom of each set of equivalent atoms:
Al1 0.1460 0.3540 0.0000 (multiplicity 4)  6 Pd 2.67-2.72, 2 Al 2.98
Te1 0.0000 0.0000 0.5000 (multiplicity 2)  4 Pd 2.94, 2 Te 2.98, 8 Al 3.28
Pd1 0.1432 0.6432 0.5000 (multiplicity 4)  6 Al 2.67-2.72, 2 Te 2.94, 2 Pd 2.98

---

Record 3
A relaxed AlTePd6 crystal, computed with GGA-PBE.

Values from the calculation:
E above lowest polymorph = 118 meV per atom

a b c (Å): 5.2778 5.2894 5.2956
angles (deg): 74.92 75.31 75.05
Last column: nearest neighbours and their distance in Å.
Space group P-1 (No. 2)
One atom of each set of equivalent atoms:
Al1 0.0000 0.0000 0.0000 (multiplicity 1)  6 Pd 2.51-2.52
Te1 0.5000 0.5000 0.5000 (multiplicity 1)  6 Pd 2.68
Pd1 0.0039 0.5224 0.2414 (multiplicity 2)  1 Al 2.51, 2 Pd 2.64-2.68, 1 Te 2.68
Pd2 0.2414 0.0038 0.5235 (multiplicity 2)  1 Al 2.52, 2 Pd 2.63-2.67, 1 Te 2.68
Pd3 0.4798 0.7582 0.9953 (multiplicity 2)  1 Al 2.52, 2 Pd 2.64-2.67, 1 Te 2.68

---

Record 4
A relaxed Al2TePd crystal, computed with GGA-PBE.

Values from the calculation:
E above lowest polymorph = 0 meV per atom

a b c (Å): 6.3954 6.3954 10.1010
angles (deg): 90.00 90.00 90.00
Last column: nearest neighbours and their distance in Å.
Space group I-42d (No. 122)
One atom of each set of equivalent atoms:
Al1 0.2073 0.2500 0.1250 (multiplicity 8)  2 Pd 2.43
Te1 0.0000 0.0000 0.5000 (multiplicity 4)  4 Al 2.77
Pd1 0.0000 0.0000 0.0000 (multiplicity 4)  4 Al 2.43